VASP calculation (GGA-PBE) on an optimized crystal structure of AgMo.

Results
Density of states at the Fermi level = 3.09 states/eV/cell
Calculated density = 10.27 Mg/m³
ΔH_f (0 K) = 516 meV/atom
E above lowest polymorph = 0.2522 eV per atom

Cell: 3.788 3.788 4.594 Å, 90.00 90.00 90.00°
Sites, in units of the cell vectors:
Ag: 0.250 0.750 0.000
Ag: 0.750 0.250 0.000
Mo: 0.750 0.750 0.500
Mo: 0.250 0.250 0.500